[1]
Computed, not measured: a geometry-optimized SiNiMo structure at the PBE level of DFT.

The structure belongs to space group I4mm (No. 107); the cell edges are 2.8500, 2.8500 and 9.4606 Å and the angles 90.00°, 90.00° and 90.00°. Symmetry generates all atoms from Si at (0.0000, 0.0000, 0.0000), Ni at (0.0000, 0.0000, 0.3737) and Mo at (0.0000, 0.0000, 0.6832).

The calculation puts the relative energy among the computed polymorphs at 0.263 eV/atom. The formation energy (no corrections) is -201 meV per atom. For the density, the calculation gives 7.9 g/cm³. For the size of the total moment, the calculation gives 0.000 μB per atom.


[2]
Computed, not measured: a geometry-optimized SiNi3Mo2 structure at the PBE level of DFT.

The structure belongs to space group Amm2 (No. 38); the cell edges are 7.6019, 4.7884 and 8.1527 Å and the angles 90.00°, 90.00° and 90.00°. Symmetry generates all atoms from Si at (0.0000, 0.2467, 0.0000), Ni at (0.0000, 0.0000, 0.7642), Ni at (0.2409, 0.0000, 0.5742), Ni at (0.5000, 0.0000, 0.4101), Ni at (0.5000, 0.2464, 0.1647), Mo at (0.1892, 0.0000, 0.2439) and Mo at (0.3171, 0.0000, 0.9157).

The calculation puts the relative energy among the computed polymorphs at 0.068 eV/atom. The formation energy (no corrections) is -270 meV per atom. For the density, the calculation gives 8.9 g/cm³. For the size of the total moment, the calculation gives 0.000 μB per atom.


[3]
Computed, not measured: a geometry-optimized Si2NiMo structure at the PBE level of DFT.

The structure belongs to space group Pmm2 (No. 25); the cell edges are 2.6585, 4.2899 and 4.6346 Å and the angles 90.00°, 90.00° and 90.00°. Symmetry generates all atoms from Si at (0.0000, 0.0000, 0.0000), Si at (0.0000, 0.5000, 0.2926), Ni at (0.0000, 0.0000, 0.5076) and Mo at (0.5000, 0.5000, 0.7841).

The formation energy (no corrections) is -243 meV per atom. For the density, the calculation gives 6.6 g/cm³. For the size of the total moment, the calculation gives 0.000 μB per atom.


[4]
Computed, not measured: a geometry-optimized SiNi3Mo2 structure at the PBE level of DFT.

The structure belongs to space group P6_3/mmc (No. 194); the cell edges are 4.7551, 4.7551 and 7.5482 Å and the angles 90.00°, 90.00° and 120.00°. Symmetry generates all atoms from Si at (0.0000, 0.0000, 0.0000), Ni at (0.1694, 0.3389, 0.2500) and Mo at (0.3333, 0.6667, 0.5642).

The calculation puts the relative energy among the computed polymorphs at 0.000 eV/atom. The formation energy (no corrections) is -337 meV per atom. For the density, the calculation gives 8.9 g/cm³. For the size of the total moment, the calculation gives 0.001 μB per atom.


[5]
Computed, not measured: a geometry-optimized SiNiMo2 structure at the PBE level of DFT.

The structure belongs to space group P2/m (No. 10); the cell edges are 2.7059, 3.9981 and 5.1632 Å and the angles 90.00°, 97.50° and 90.00°. Symmetry generates all atoms from Si at (0.0000, 0.0000, 0.0000), Ni at (0.0000, 0.0000, 0.5000) and Mo at (0.4655, 0.5000, 0.2469).

The formation energy (no corrections) is -95 meV per atom. For the density, the calculation gives 8.4 g/cm³. For the size of the total moment, the calculation gives 0.000 μB per atom.


[6]
Computed, not measured: a geometry-optimized Si2NiMo structure at the PBE level of DFT.

The structure belongs to space group Cm (No. 8); the cell edges are 9.0052, 2.8789 and 4.2278 Å and the angles 90.00°, 107.79° and 90.00°. Symmetry generates all atoms from Si at (0.0000, 0.0000, 0.0000), Si at (0.2465, 0.5000, 0.3688), Ni at (0.4888, 0.0000, 0.4839) and Mo at (0.2541, 0.0000, 0.8748).

The formation energy (no corrections) is -303 meV per atom. For the density, the calculation gives 6.7 g/cm³. For the size of the total moment, the calculation gives 0.000 μB per atom.